# CaN3F12

A relaxed structure of CaN3F12 (PBE-GGA, Alexandria via LeMat-Bulk).

Computed properties:
crystal system = trigonal
energy relative to the elements, uncorrected = -0.92 eV per atom
electronic total energy = -4.012 eV/atom

```
data_CaN3F12
_space_group_name_H-M_alt 'P 1'
_space_group_IT_number 1
_cell_length_a 11.8918
_cell_length_b 11.8918
_cell_length_c 11.8918
_cell_angle_alpha 38.98
_cell_angle_beta 38.98
_cell_angle_gamma 38.98
loop_
_space_group_symop_operation_xyz
'x,y,z'
loop_
_atom_site_label
_atom_site_fract_x
_atom_site_fract_y
_atom_site_fract_z
_atom_site_occupancy
Ca1 0.0000 0.0000 0.0000 1
Ca2 0.5000 0.5000 0.5000 1
N1 0.1224 0.4130 0.6226 1
N2 0.1226 0.9130 0.6224 1
N3 0.4130 0.6226 0.1224 1
N4 0.6224 0.1226 0.9130 1
N5 0.6226 0.1224 0.4130 1
N6 0.9130 0.6224 0.1226 1
F1 0.0488 0.2861 0.8381 1
F2 0.0664 0.3982 0.5674 1
F3 0.0674 0.8982 0.5664 1
F4 0.1001 0.4827 0.1169 1
F5 0.1169 0.1001 0.4827 1
F6 0.2285 0.9428 0.7456 1
F7 0.2456 0.4428 0.7285 1
F8 0.2861 0.8381 0.0488 1
F9 0.3381 0.7861 0.5488 1
F10 0.3982 0.5674 0.0664 1
F11 0.4428 0.7285 0.2456 1
F12 0.4827 0.1169 0.1001 1
F13 0.5488 0.3381 0.7861 1
F14 0.5664 0.0674 0.8982 1
F15 0.5674 0.0664 0.3982 1
F16 0.6001 0.6169 0.9827 1
F17 0.6169 0.9827 0.6001 1
F18 0.7285 0.2456 0.4428 1
F19 0.7456 0.2285 0.9428 1
F20 0.7861 0.5488 0.3381 1
F21 0.8381 0.0488 0.2861 1
F22 0.8982 0.5664 0.0674 1
F23 0.9428 0.7456 0.2285 1
F24 0.9827 0.6001 0.6169 1
```